Density functional theory data (PBE) for crystalline K2CuF4 at its relaxed geometry.

Cell: 3.4930 6.1526 6.1526 Å, 90.00 90.00 90.00°
With the nearest neighbours (Å) after each atom.
Sites, in units of the cell vectors:
F: 0.0000 0.7822 0.7822  1 Cu 1.90
F: 0.0000 0.2178 0.2178  1 Cu 1.90
K: 0.5000 0.0000 0.5000  8 F 2.80
F: 0.0000 0.2178 0.7822  1 Cu 1.90
K: 0.5000 0.5000 0.0000  8 F 2.80
Cu: 0.0000 0.0000 0.0000  4 F 1.90
F: 0.0000 0.7822 0.2178  1 Cu 1.90

Computed properties:
Calculated density ... 2.73 g/cm³
Formation energy without anion corrections ... -2282 meV/atom
Space group ... P4/mmm, No. 123
Energy above the lowest structure with this stoichiometry ... 0.019 eV/atom
M_tot ... 0.14 μB/atom